No. 1
Density functional theory data (GGA-PBE) for TbIn2Cu after structural relaxation.

Output
Calculated formation energy   -0.234 eV/atom
Total moment   0.00 μB per atom
VASP energy   -45.42 eV for the cell shown

a b c (Å): 4.4780 4.4780 16.1064
angles (deg): 90.00 90.00 120.00
Space group R-3m (No. 166, hexagonal axes)
Asymmetric unit:
1 Tb 0.0000 0.0000 0.0000 [3 per cell]
2 In 0.0000 0.0000 0.2198 [6 per cell]
3 Cu 0.0000 0.0000 0.5000 [3 per cell]

---

No. 2
Density functional theory data (GGA-PBE) for PmDyC2O8 after structural relaxation.

Output
Energy relative to the elements, uncorrected   -44.0 kcal/mol of atoms
Total moment   0.17 μB per atom
VASP energy   -180.73 eV for the cell shown

a b c (Å): 8.734 5.299 5.994
angles (deg): 90.00 111.81 90.00
Space group C2/m (No. 12)
Asymmetric unit:
1 Pm 0.000 0.000 0.000 [2 per cell]
2 Dy 0.000 0.500 0.500 [2 per cell]
3 C 0.214 0.000 0.699 [4 per cell]
4 O 0.116 0.500 0.207 [4 per cell]
5 O 0.152 0.211 0.776 [8 per cell]
6 O 0.167 0.000 0.450 [4 per cell]

---

No. 3
Density functional theory data (GGA-PBE) for Ce2PbCl8 after structural relaxation.

Output
Energy relative to the elements, uncorrected   -43.9 kcal/mol of atoms
Total moment   0.18 μB per atom
VASP energy   -102.61 eV for the cell shown

a b c (Å): 21.434 4.114 7.804
angles (deg): 90.00 94.60 90.00
Space group C2/m (No. 12)
Asymmetric unit:
1 Ce 0.161 0.000 0.339 [4 per cell]
2 Pb 0.000 0.500 0.000 [2 per cell]
3 Cl 0.023 0.000 0.257 [4 per cell]
4 Cl 0.115 0.500 0.531 [4 per cell]
5 Cl 0.137 0.500 0.069 [4 per cell]
6 Cl 0.241 0.000 0.670 [4 per cell]

---

No. 4
Density functional theory data (GGA-PBE) for Ca3Ni2Sn3 after structural relaxation.

Output
Calculated formation energy   -0.503 eV/atom
Total moment   0.00 μB per atom
VASP energy   -134.41 eV for the cell shown

a b c (Å): 8.430 15.293 5.938
angles (deg): 90.00 90.00 90.00
Space group Pnma (No. 62)
Asymmetric unit:
1 Ca 0.039 0.112 0.116 [8 per cell]
2 Ca 0.186 0.250 0.614 [4 per cell]
3 Ni 0.100 0.601 0.387 [8 per cell]
4 Sn 0.162 0.750 0.595 [4 per cell]
5 Sn 0.184 0.039 0.622 [8 per cell]

---

No. 5
Density functional theory data (GGA-PBE) for Fe2Ni13 after structural relaxation.

Output
Calculated formation energy   0.463 eV/atom
Total moment   0.93 μB per atom
VASP energy   -255.41 eV for the cell shown

a b c (Å): 6.4707 6.4707 17.3376
angles (deg): 90.00 90.00 120.00
Space group R-3m (No. 166, hexagonal axes)
Asymmetric unit:
1 Fe 0.0000 0.0000 0.2322 [6 per cell]
2 Ni 0.0000 0.0000 0.0000 [3 per cell]
3 Ni 0.0834 0.5417 0.5596 [18 per cell]
4 Ni 0.0872 0.5436 0.3088 [18 per cell]

---

No. 6
Density functional theory data (GGA-PBE) for MgVBr2 after structural relaxation.

Output
Energy relative to the elements, uncorrected   -8.8 kcal/mol of atoms
Total moment   0.76 μB per atom
VASP energy   -46.76 eV for the cell shown

a b c (Å): 3.6990 3.6990 30.1942
angles (deg): 90.00 90.00 120.00
Space group R-3m (No. 166, hexagonal axes)
Asymmetric unit:
1 Mg 0.0000 0.0000 0.0000 [3 per cell]
2 V 0.0000 0.0000 0.5000 [3 per cell]
3 Br 0.0000 0.0000 0.1163 [6 per cell]

---

No. 7
Density functional theory data (GGA-PBE) for Mg2FeW after structural relaxation.

Output
Calculated formation energy   0.416 eV/atom
Total moment   0.04 μB per atom
VASP energy   -45.88 eV for the cell shown

a b c (Å): 3.090 4.721 8.986
angles (deg): 90.00 90.00 90.00
Space group Imm2 (No. 44)
Asymmetric unit:
1 Mg 0.000 0.000 0.000 [2 per cell]
2 Mg 0.000 0.500 0.219 [2 per cell]
3 Fe 0.000 0.000 0.474 [2 per cell]
4 W 0.000 0.500 0.782 [2 per cell]

---

No. 8
Density functional theory data (GGA-PBE) for BaTe3 after structural relaxation.

Output
Energy relative to the elements, uncorrected   -20.4 kcal/mol of atoms
Total moment   0.00 μB per atom
VASP energy   -29.76 eV for the cell shown

a b c (Å): 8.081 8.081 4.403
angles (deg): 90.00 90.00 90.00
Space group P-42_1m (No. 113)
Asymmetric unit:
1 Ba 0.000 0.000 0.000 [2 per cell]
2 Te 0.000 0.500 0.101 [2 per cell]
3 Te 0.197 0.697 0.502 [4 per cell]